# La4Tb8Tm (GGA-PBE, optimized geometry)
data_La4Tb8Tm
_cell_length_a 11.0765
_cell_length_b 11.0765
_cell_length_c 13.4853
_cell_angle_alpha 90.00
_cell_angle_beta 90.00
_cell_angle_gamma 120.00
_symmetry_space_group_name_H-M 'R -3 m'
_symmetry_Int_Tables_number 166
_symmetry_space_group_name_Hall '-R 3 2"'
loop_
_atom_site_label
_atom_site_fract_x
_atom_site_fract_y
_atom_site_fract_z
La1 0.0000 0.0000 0.0000
La2 0.0000 0.5000 0.0000
Tb1 0.0000 0.0000 0.2391
Tb2 0.0135 0.5068 0.7454
Tm1 0.0000 0.0000 0.5000
# Final energy = -4.176 eV per atom

---

# Ca6ZnHg (GGA-PBE, optimized geometry)
data_Ca6ZnHg
_cell_length_a 5.3724
_cell_length_b 5.3724
_cell_length_c 18.8234
_cell_angle_alpha 90.00
_cell_angle_beta 90.00
_cell_angle_gamma 90.00
_symmetry_space_group_name_H-M 'I 4/m m m'
_symmetry_Int_Tables_number 139
_symmetry_space_group_name_Hall '-I 4 2'
loop_
_atom_site_label
_atom_site_fract_x
_atom_site_fract_y
_atom_site_fract_z
Ca1 0.0000 0.0000 0.2495
Ca2 0.0000 0.5000 0.0958
Zn1 0.0000 0.0000 0.0000
Hg1 0.0000 0.0000 0.5000
# Final energy = -1.903 eV per atom

---

# LaDy8Tl2 (GGA-PBE, optimized geometry)
data_LaDy8Tl2
_cell_length_a 8.8292
_cell_length_b 15.1461
_cell_length_c 5.6981
_cell_angle_alpha 90.00
_cell_angle_beta 113.84
_cell_angle_gamma 90.00
_symmetry_space_group_name_H-M 'C 1 2/m 1'
_symmetry_Int_Tables_number 12
_symmetry_space_group_name_Hall '-C 2y'
loop_
_atom_site_label
_atom_site_fract_x
_atom_site_fract_y
_atom_site_fract_z
La1 0.0000 0.0000 0.0000
Dy1 0.0000 0.2228 0.0000
Dy2 0.0901 0.5000 0.7940
Dy3 0.2074 0.1141 0.6218
Tl1 0.0000 0.3067 0.5000
# Final energy = -4.227 eV per atom

---

# Ba2Al3CdGe4 (GGA-PBE, optimized geometry)
data_Ba2Al3CdGe4
_cell_length_a 4.8179
_cell_length_b 4.8179
_cell_length_c 10.3653
_cell_angle_alpha 90.00
_cell_angle_beta 90.00
_cell_angle_gamma 90.00
_symmetry_space_group_name_H-M 'P -4 m 2'
_symmetry_Int_Tables_number 115
_symmetry_space_group_name_Hall 'P -4 -2'
loop_
_atom_site_label
_atom_site_fract_x
_atom_site_fract_y
_atom_site_fract_z
Ba1 0.0000 0.5000 0.2429
Al1 0.0000 0.5000 0.8870
Al2 0.5000 0.5000 0.5000
Cd1 0.0000 0.0000 0.5000
Ge1 0.0000 0.0000 0.0000
Ge2 0.0000 0.5000 0.6349
Ge3 0.5000 0.5000 0.0000
# Final energy = -3.789 eV per atom

---

# Y2IrSeS (GGA-PBE, optimized geometry)
data_Y2IrSeS
_cell_length_a 5.3417
_cell_length_b 5.3417
_cell_length_c 4.5533
_cell_angle_alpha 90.00
_cell_angle_beta 90.00
_cell_angle_gamma 90.00
_symmetry_space_group_name_H-M 'P 4/m m m'
_symmetry_Int_Tables_number 123
_symmetry_space_group_name_Hall '-P 4 2'
loop_
_atom_site_label
_atom_site_fract_x
_atom_site_fract_y
_atom_site_fract_z
Y1 0.0000 0.5000 0.0000
Ir1 0.0000 0.0000 0.5000
Se1 0.5000 0.5000 0.0000
S1 0.5000 0.5000 0.5000
# Final energy = -5.808 eV per atom
# ΔE_f (raw) = 72 meV/atom

---

# KGa11Ag (GGA-PBE, optimized geometry)
data_KGa11Ag
_cell_length_a 5.4563
_cell_length_b 13.4924
_cell_length_c 7.5795
_cell_angle_alpha 90.00
_cell_angle_beta 108.89
_cell_angle_gamma 90.00
_symmetry_space_group_name_H-M 'C 1 2/m 1'
_symmetry_Int_Tables_number 12
_symmetry_space_group_name_Hall '-C 2y'
loop_
_atom_site_label
_atom_site_fract_x
_atom_site_fract_y
_atom_site_fract_z
K1 0.0000 0.0000 0.0000
Ga1 0.0000 0.0000 0.5000
Ga2 0.1113 0.3927 0.2162
Ga3 0.1813 0.1793 0.3599
Ga4 0.2500 0.2500 0.0000
Ag1 0.0000 0.5000 0.5000
# Final energy = -2.879 eV per atom

---

# KSr2GeOs (GGA-PBE, optimized geometry)
data_KSr2GeOs
_cell_length_a 5.9995
_cell_length_b 5.9995
_cell_length_c 5.9535
_cell_angle_alpha 90.00
_cell_angle_beta 90.00
_cell_angle_gamma 90.00
_symmetry_space_group_name_H-M 'P 4/m m m'
_symmetry_Int_Tables_number 123
_symmetry_space_group_name_Hall '-P 4 2'
loop_
_atom_site_label
_atom_site_fract_x
_atom_site_fract_y
_atom_site_fract_z
K1 0.0000 0.0000 0.0000
Sr1 0.0000 0.5000 0.5000
Ge1 0.0000 0.0000 0.5000
Os1 0.5000 0.5000 0.0000
# Final energy = -2.975 eV per atom

---

# Mg5H3Ir2 (GGA-PBE, optimized geometry)
data_Mg5H3Ir2
_cell_length_a 8.7065
_cell_length_b 4.3957
_cell_length_c 7.9477
_cell_angle_alpha 90.00
_cell_angle_beta 113.12
_cell_angle_gamma 90.00
_symmetry_space_group_name_H-M 'C 1 m 1'
_symmetry_Int_Tables_number 8
_symmetry_space_group_name_Hall 'C -2y'
loop_
_atom_site_label
_atom_site_fract_x
_atom_site_fract_y
_atom_site_fract_z
Mg1 0.0000 0.0000 0.0000
Mg2 0.0110 0.5000 0.6270
Mg3 0.1452 0.0000 0.4327
Mg4 0.2635 0.0000 0.8248
Mg5 0.2940 0.5000 0.2440
H1 0.0577 0.5000 0.0444
H2 0.1485 0.5000 0.4163
H3 0.3265 0.0000 0.2939
Ir1 0.3270 0.5000 0.6307
Ir2 0.4623 0.0000 0.1929
# Final energy = -3.885 eV per atom

---

# Li2Pr3Hg4 (GGA-PBE, optimized geometry)
data_Li2Pr3Hg4
_cell_length_a 9.5777
_cell_length_b 5.2849
_cell_length_c 9.2344
_cell_angle_alpha 90.00
_cell_angle_beta 101.52
_cell_angle_gamma 90.00
_symmetry_space_group_name_H-M 'C 1 2/m 1'
_symmetry_Int_Tables_number 12
_symmetry_space_group_name_Hall '-C 2y'
loop_
_atom_site_label
_atom_site_fract_x
_atom_site_fract_y
_atom_site_fract_z
Li1 0.2265 0.0000 0.3915
Pr1 0.0000 0.5000 0.0000
Pr2 0.1195 0.0000 0.7251
Hg1 0.0704 0.5000 0.3657
Hg2 0.1920 0.0000 0.0919
# Final energy = -2.548 eV per atom

---

# MnW2Se (GGA-PBE, optimized geometry)
data_MnW2Se
_cell_length_a 9.0165
_cell_length_b 3.1231
_cell_length_c 4.5206
_cell_angle_alpha 90.00
_cell_angle_beta 99.30
_cell_angle_gamma 90.00
_symmetry_space_group_name_H-M 'C 1 2/m 1'
_symmetry_Int_Tables_number 12
_symmetry_space_group_name_Hall '-C 2y'
loop_
_atom_site_label
_atom_site_fract_x
_atom_site_fract_y
_atom_site_fract_z
Mn1 0.0000 0.0000 0.0000
W1 0.2456 0.5000 0.2341
Se1 0.0000 0.5000 0.5000
# Final energy = -9.215 eV per atom
# ΔE_f (raw) = 425 meV/atom

---

# HoLu2Hf (GGA-PBE, optimized geometry)
data_HoLu2Hf
_cell_length_a 7.6308
_cell_length_b 7.6308
_cell_length_c 7.6308
_cell_angle_alpha 90.00
_cell_angle_beta 90.00
_cell_angle_gamma 90.00
_symmetry_space_group_name_H-M 'F m -3 m'
_symmetry_Int_Tables_number 225
_symmetry_space_group_name_Hall '-F 4 2 3'
loop_
_atom_site_label
_atom_site_fract_x
_atom_site_fract_y
_atom_site_fract_z
Ho1 0.0000 0.0000 0.0000
Lu1 0.2500 0.2500 0.2500
Hf1 0.0000 0.0000 0.5000
# Final energy = -5.630 eV per atom

---

# AcPrAg (GGA-PBE, optimized geometry)
data_AcPrAg
_cell_length_a 5.2930
_cell_length_b 5.2930
_cell_length_c 4.0558
_cell_angle_alpha 90.00
_cell_angle_beta 90.00
_cell_angle_gamma 120.00
_symmetry_space_group_name_H-M 'P 3 m 1'
_symmetry_Int_Tables_number 156
_symmetry_space_group_name_Hall 'P 3 -2"'
loop_
_atom_site_label
_atom_site_fract_x
_atom_site_fract_y
_atom_site_fract_z
Ac1 0.0000 0.0000 0.0000
Pr1 0.6667 0.3333 0.4432
Ag1 0.3333 0.6667 0.6325
# Final energy = -3.919 eV per atom

---

# In2CoSe2 (GGA-PBE, optimized geometry)
data_In2CoSe2
_cell_length_a 6.1275
_cell_length_b 6.1275
_cell_length_c 6.1440
_cell_angle_alpha 90.00
_cell_angle_beta 90.00
_cell_angle_gamma 90.00
_symmetry_space_group_name_H-M 'P 4/m b m'
_symmetry_Int_Tables_number 127
_symmetry_space_group_name_Hall '-P 4 2ab'
loop_
_atom_site_label
_atom_site_fract_x
_atom_site_fract_y
_atom_site_fract_z
In1 0.1971 0.3029 0.0000
Co1 0.0000 0.0000 0.5000
Se1 0.1506 0.3494 0.5000
# Final energy = -3.926 eV per atom
# ΔE_f (raw) = -15 meV/atom

---

# Tb4NiBr5 (GGA-PBE, optimized geometry)
data_Tb4NiBr5
_cell_length_a 18.5353
_cell_length_b 3.9492
_cell_length_c 8.4719
_cell_angle_alpha 90.00
_cell_angle_beta 102.82
_cell_angle_gamma 90.00
_symmetry_space_group_name_H-M 'C 1 2/m 1'
_symmetry_Int_Tables_number 12
_symmetry_space_group_name_Hall '-C 2y'
loop_
_atom_site_label
_atom_site_fract_x
_atom_site_fract_y
_atom_site_fract_z
Tb1 0.0005 0.0000 0.2128
Tb2 0.1466 0.5000 0.0787
Ni1 0.0000 0.5000 0.0000
Br1 0.0000 0.5000 0.5000
Br2 0.1675 0.0000 0.3378
Br3 0.1769 0.0000 0.8393
# Final energy = -4.630 eV per atom
# ΔE_f (raw) = -1364 meV/atom

---

# Ho3Th2N4 (GGA-PBE, optimized geometry)
data_Ho3Th2N4
_cell_length_a 11.6307
_cell_length_b 3.5129
_cell_length_c 8.7646
_cell_angle_alpha 90.00
_cell_angle_beta 118.55
_cell_angle_gamma 90.00
_symmetry_space_group_name_H-M 'C 1 2/m 1'
_symmetry_Int_Tables_number 12
_symmetry_space_group_name_Hall '-C 2y'
loop_
_atom_site_label
_atom_site_fract_x
_atom_site_fract_y
_atom_site_fract_z
Ho1 0.0000 0.0000 0.0000
Ho2 0.2109 0.0000 0.8185
Th1 0.1014 0.5000 0.3915
N1 0.1019 0.5000 0.9026
N2 0.1931 0.0000 0.2844
# Final energy = -8.275 eV per atom
# ΔE_f (raw) = -1400 meV/atom

---

# La4TbAl (GGA-PBE, optimized geometry)
data_La4TbAl
_cell_length_a 9.1948
_cell_length_b 14.0711
_cell_length_c 6.4914
_cell_angle_alpha 90.00
_cell_angle_beta 108.94
_cell_angle_gamma 90.00
_symmetry_space_group_name_H-M 'C 1 2/c 1'
_symmetry_Int_Tables_number 15
_symmetry_space_group_name_Hall '-C 2yc'
loop_
_atom_site_label
_atom_site_fract_x
_atom_site_fract_y
_atom_site_fract_z
La1 0.1008 0.1849 0.0523
La2 0.2212 0.3875 0.3769
Tb1 0.0000 0.4114 0.7500
Al1 0.0000 0.0012 0.7500
# Final energy = -4.718 eV per atom

---

# Rb2GaGeCl (GGA-PBE, optimized geometry)
data_Rb2GaGeCl
_cell_length_a 6.9924
_cell_length_b 6.9924
_cell_length_c 5.1927
_cell_angle_alpha 90.00
_cell_angle_beta 90.00
_cell_angle_gamma 90.00
_symmetry_space_group_name_H-M 'P 4/m m m'
_symmetry_Int_Tables_number 123
_symmetry_space_group_name_Hall '-P 4 2'
loop_
_atom_site_label
_atom_site_fract_x
_atom_site_fract_y
_atom_site_fract_z
Rb1 0.0000 0.5000 0.0000
Ga1 0.0000 0.0000 0.5000
Ge1 0.5000 0.5000 0.0000
Cl1 0.5000 0.5000 0.5000
# Final energy = -2.156 eV per atom
# ΔE_f (raw) = 129 meV/atom

---

# TbCe2U2Ru5 (GGA-PBE, optimized geometry)
data_TbCe2U2Ru5
_cell_length_a 10.5122
_cell_length_b 10.5122
_cell_length_c 3.6891
_cell_angle_alpha 90.00
_cell_angle_beta 90.00
_cell_angle_gamma 90.00
_symmetry_space_group_name_H-M 'P 4/m b m'
_symmetry_Int_Tables_number 127
_symmetry_space_group_name_Hall '-P 4 2ab'
loop_
_atom_site_label
_atom_site_fract_x
_atom_site_fract_y
_atom_site_fract_z
Tb1 0.0000 0.0000 0.0000
Ce1 0.1787 0.3213 0.0000
U1 0.1378 0.6378 0.0000
Ru1 0.0000 0.5000 0.5000
Ru2 0.0552 0.7898 0.5000
# Final energy = -8.782 eV per atom

---

# CsInCuP6O18 (GGA-PBE, optimized geometry)
data_CsInCuP6O18
_cell_length_a 5.2211
_cell_length_b 9.1118
_cell_length_c 9.4973
_cell_angle_alpha 85.27
_cell_angle_beta 74.44
_cell_angle_gamma 73.40
_symmetry_space_group_name_H-M 'P 1'
_symmetry_Int_Tables_number 1
_symmetry_space_group_name_Hall 'P 1'
loop_
_atom_site_label
_atom_site_fract_x
_atom_site_fract_y
_atom_site_fract_z
Cs1 0.0000 0.0000 0.0000
In1 0.9951 0.9935 0.5050
Cu1 0.4952 0.4943 0.0047
P1 0.1278 0.4528 0.8055
P2 0.2428 0.2346 0.2574
P3 0.3471 0.2327 0.5534
P4 0.6431 0.7547 0.4568
P5 0.7474 0.7525 0.7527
P6 0.8629 0.5347 0.2042
O1 0.0334 0.6316 0.7661
O2 0.0920 0.5881 0.0998
O3 0.1713 0.0832 0.2951
O4 0.1823 0.3840 0.6453
O5 0.2110 0.1054 0.6088
O6 0.2948 0.2975 0.3987
O7 0.3400 0.7893 0.4648
O8 0.4026 0.4199 0.8410
O9 0.4714 0.2393 0.1262
O10 0.5181 0.7473 0.8834
O11 0.5881 0.5672 0.1687
O12 0.6498 0.1977 0.5462
O13 0.6973 0.6892 0.6110
O14 0.7777 0.8826 0.4018
O15 0.8081 0.6039 0.3642
O16 0.8179 0.9042 0.7153
O17 0.8987 0.3990 0.9097
O18 0.9569 0.3559 0.2444
# Final energy = -6.806 eV per atom
# ΔE_f (raw) = -2014 meV/atom

---

# CaHfMg (GGA-PBE, optimized geometry)
data_CaHfMg
_cell_length_a 3.2642
_cell_length_b 3.2642
_cell_length_c 17.0160
_cell_angle_alpha 90.00
_cell_angle_beta 90.00
_cell_angle_gamma 120.00
_symmetry_space_group_name_H-M 'P -6 m 2'
_symmetry_Int_Tables_number 187
_symmetry_space_group_name_Hall 'P -6 2'
loop_
_atom_site_label
_atom_site_fract_x
_atom_site_fract_y
_atom_site_fract_z
Ca1 0.0000 0.0000 0.1754
Hf1 0.3333 0.6667 0.3432
Mg1 0.0000 0.0000 0.5000
Mg2 0.3333 0.6667 0.0000
# Final energy = -4.216 eV per atom

---

# Cu2O (GGA-PBE, optimized geometry)
data_Cu2O
_cell_length_a 3.6965
_cell_length_b 10.5328
_cell_length_c 3.7611
_cell_angle_alpha 90.00
_cell_angle_beta 90.00
_cell_angle_gamma 90.00
_symmetry_space_group_name_H-M 'C m c m'
_symmetry_Int_Tables_number 63
_symmetry_space_group_name_Hall '-C 2c 2'
loop_
_atom_site_label
_atom_site_fract_x
_atom_site_fract_y
_atom_site_fract_z
Cu1 0.0000 0.0896 0.2500
Cu2 0.0000 0.3714 0.2500
O1 0.0000 0.3603 0.7500
# Final energy = -4.659 eV per atom
# ΔE_f (raw) = -275 meV/atom

---

# SrSiO3 (GGA-PBE, optimized geometry)
data_SrSiO3
_cell_length_a 12.4880
_cell_length_b 7.2346
_cell_length_c 10.9944
_cell_angle_alpha 90.00
_cell_angle_beta 111.66
_cell_angle_gamma 90.00
_symmetry_space_group_name_H-M 'C 1 2/c 1'
_symmetry_Int_Tables_number 15
_symmetry_space_group_name_Hall '-C 2yc'
loop_
_atom_site_label
_atom_site_fract_x
_atom_site_fract_y
_atom_site_fract_z
Sr1 0.0873 0.2389 0.4992
Sr2 0.2500 0.2500 0.0000
Si1 0.0000 0.1691 0.7500
Si2 0.1237 0.4580 0.2464
O1 0.0000 0.3682 0.2500
O2 0.0473 0.0661 0.8894
O3 0.1067 0.3105 0.7480
O4 0.1273 0.4074 0.1054
O5 0.2219 0.4064 0.3853
# Final energy = -7.420 eV per atom
# ΔE_f (raw) = -3024 meV/atom